Entry 1:
The following is a DFT calculation (PBE) of a geometry-optimized Rb2FeNi structure.

abc: 12.9003 12.9003 9.3817
angles: 46.57 46.57 90.00
Sites, in units of the cell vectors:
Rb1 0.8116 0.1250 0.2500
Rb2 0.8750 0.0616 0.7500
Rb3 0.9384 0.6250 0.2500
Rb4 0.3750 0.1884 0.7500
Ni1 0.7500 0.2500 0.5000
Ni2 0.0000 0.0000 0.0000
Fe1 0.5000 0.5000 0.0000
Fe2 0.2500 0.7500 0.5000

Symmetry = I-42d, No. 122
ρ = 2.6 Mg/m³
E = -0.1174 hartree per atom

Entry 2:
The following is a DFT calculation (PBE) of a geometry-optimized PrNp5P6 structure.

abc: 6.9385 6.9221 6.9262
angles: 60.02 80.40 70.51
Sites, in units of the cell vectors:
Np1 0.0000 0.3324 0.3353
Np2 0.5000 0.5000 0.0000
Np3 0.5000 0.1629 0.6742
Np4 0.0000 0.6676 0.6647
Np5 0.5000 0.8371 0.3258
P1 0.7462 0.7394 0.0000
P2 0.2574 0.9138 0.6555
P3 0.7426 0.4308 0.6555
P4 0.2574 0.5692 0.3445
P5 0.2538 0.2606 0.0000
P6 0.7426 0.0862 0.3445
Pr1 0.0000 0.0000 0.0000

Symmetry = C2/m, No. 12
ρ = 9.2 Mg/m³
E = -0.3477 hartree per atom

Entry 3:
The following is a DFT calculation (PBE) of a geometry-optimized Ca2TlHgRh structure.

abc: 5.4255 5.4255 5.2331
angles: 90.00 90.00 90.00
Sites, in units of the cell vectors:
Tl1 0.0000 0.0000 0.5000
Ca1 0.5000 0.0000 0.0000
Ca2 0.0000 0.5000 0.0000
Hg1 0.5000 0.5000 0.5000
Rh1 0.0000 0.0000 0.0000

Symmetry = P4/mmm, No. 123
ρ = 6.3 Mg/m³
E = -0.1139 hartree per atom

Entry 4:
The following is a DFT calculation (PBE) of a geometry-optimized YPaI structure.

abc: 5.3242 3.7753 13.2513
angles: 90.20 90.00 134.84
Sites, in units of the cell vectors:
Y1 0.2472 0.4944 0.7776
Y2 0.7528 0.5056 0.2224
I1 0.7456 0.4911 0.6454
I2 0.2544 0.5089 0.3546
Pa1 0.7493 0.4986 0.9420
Pa2 0.2507 0.5014 0.0580

Raw formation energy = -0.474 eV/atom
Symmetry = C2/m, No. 12
ρ = 7.9 Mg/m³
E = -0.2319 hartree per atom